A relaxed structure of Ce2BiSe. Source: the Alexandria database, functional PBE. Values from VASP.

- Energy relative to the lowest polymorph listed for this composition: 0.201 eV/atom
- ρ: 8.613 g/cm3

Quantum ESPRESSO input file:
```
&SYSTEM
  ibrav = 0, nat = 4, ntyp = 3
/
ATOMIC_SPECIES
Ce 140.12 Ce.upf
Se 78.96 Se.upf
Bi 208.98 Bi.upf
CELL_PARAMETERS angstrom
-2.5496 -2.7051 0.3249
2.5666 -2.2353 1.5296
-1.9276 2.6745 7.1427
ATOMIC_POSITIONS angstrom
Ce -0.4443 0.6165 1.6465
Ce -1.4833 2.0580 5.4962
Se 0.0085 -2.4702 0.9272
Bi -0.9553 -1.1330 4.4986
```